# V4ZnCu3O14, optimized geometry, DFT PBE+U
# N(E_F) = 0.84 states/eV/cell
# uncorrected energy = -144.62 eV per cell
# M_tot = 3.03 μB per formula unit
data_V4ZnCu3O14
_cell_length_a 5.623
_cell_length_b 5.713
_cell_length_c 10.259
_cell_angle_alpha 103.94
_cell_angle_beta 103.23
_cell_angle_gamma 91.89
_space_group_name_H-M_alt 'P 1'
_space_group_IT_number 1
_space_group_name_Hall 'P 1'
loop_
_atom_site_label
_atom_site_type_symbol
_atom_site_fract_x
_atom_site_fract_y
_atom_site_fract_z
_atom_site_occupancy
V1 V 0.494 0.951 0.287 1
O1 O 0.778 0.983 0.397 1
O2 O 0.360 0.643 0.253 1
O3 O 0.651 0.834 0.627 1
O4 O 0.490 0.983 0.871 1
O5 O 0.857 0.675 0.136 1
V2 V 0.052 0.501 0.214 1
O6 O 0.952 0.775 0.896 1
O7 O 0.149 0.325 0.869 1
O8 O 0.648 0.336 0.740 1
O9 O 0.312 0.138 0.363 1
O10 O 0.201 0.035 0.601 1
O11 O 0.040 0.520 0.636 1
Zn1 Zn 0.915 0.769 0.523 1
Cu1 Cu 0.118 0.273 0.488 1
V3 V 0.954 0.493 0.787 1
O12 O 0.981 0.491 0.373 1
O13 O 0.508 0.013 0.125 1
Cu2 Cu 0.732 0.873 0.013 1
Cu3 Cu 0.272 0.127 0.989 1
O14 O 0.040 0.219 0.102 1
V4 V 0.495 0.042 0.710 1